[1]
{
  "formula": "Ta2NiAu",
  "functional": "SCAN",
  "state": "PBEsol geometry",
  "dos_ef_per_ev_cell": 2.58,
  "polymorph_energy_mev_per_atom": 36,
  "formation_energy_kj_per_mol_fu": -66,
  "total_energy_ev_per_atom": -54.7948,
  "vol_a3_per_atom": 15.39,
  "density_g_cm3": 16.65,
  "total_magnetization_mub_per_cell": 0.0,
  "cell": [[-0.239, -2.717, 2.800], [1.226, -2.713, -2.528], [3.328, 3.463, 0.915]],
  "species": ["Au", "Ni", "Ta", "Ta"],
  "fractional_positions": [[0.500, 0.000, 0.000], [0.000, 0.500, 0.000], [0.750, 0.750, 0.500], [0.250, 0.250, 0.500]]
}


[2]
{
  "formula": "OsRhS2",
  "functional": "SCAN",
  "state": "PBEsol geometry",
  "dos_ef_per_ev_cell": 2.34,
  "total_energy_ev_per_atom": -30.7112,
  "vol_a3_per_atom": 13.16,
  "density_g_cm3": 11.27,
  "total_magnetization_mub_per_cell": 1.0,
  "e_form_raw_ev_per_atom": 0.52,
  "cell": [[-0.388, 3.361, 2.499], [1.935, 0.079, 3.734], [3.285, 2.555, 0.613]],
  "species": ["Rh", "S", "S", "Os"],
  "fractional_positions": [[0.000, 0.000, 0.000], [0.250, 0.250, 0.250], [0.750, 0.750, 0.750], [0.500, 0.500, 0.500]]
}


Copy entry 2 word for word.
{
  "formula": "OsRhS2",
  "functional": "SCAN",
  "state": "PBEsol geometry",
  "dos_ef_per_ev_cell": 2.34,
  "total_energy_ev_per_atom": -30.7112,
  "vol_a3_per_atom": 13.16,
  "density_g_cm3": 11.27,
  "total_magnetization_mub_per_cell": 1.0,
  "e_form_raw_ev_per_atom": 0.52,
  "cell": [[-0.388, 3.361, 2.499], [1.935, 0.079, 3.734], [3.285, 2.555, 0.613]],
  "species": ["Rh", "S", "S", "Os"],
  "fractional_positions": [[0.000, 0.000, 0.000], [0.250, 0.250, 0.250], [0.750, 0.750, 0.750], [0.500, 0.500, 0.500]]
}